Density functional theory data (PBE-GGA) for a relaxed structure of Pm6MgSn8.

Cell: 6.392 9.127 9.127 Å, 120.00 90.00 90.00°
Sites, in units of the cell vectors:
Pm 0.741 0.604 0.677
Pm 0.259 0.927 0.604
Pm 0.741 0.323 0.927
Pm 0.259 0.677 0.073
Pm 0.741 0.073 0.396
Pm 0.259 0.396 0.323
Sn 0.397 0.333 0.667
Sn 0.768 0.941 0.663
Sn 0.768 0.337 0.278
Sn 0.768 0.722 0.059
Sn 0.232 0.059 0.337
Sn 0.603 0.667 0.333
Sn 0.232 0.278 0.941
Sn 0.232 0.663 0.722
Mg 0.500 0.000 0.000

Properties
Space-group type: P-3
Energy, Ha/atom: -0.17282

=====

Density functional theory data (PBE-GGA) for a relaxed structure of Ti12NiHg3.

Cell: 4.143 4.143 15.955 Å, 90.00 90.00 90.00°
Sites, in units of the cell vectors:
Ti 0.000 0.500 0.371
Ti 0.500 0.500 0.240
Ti 0.500 0.000 0.110
Ti 0.500 0.000 0.629
Ti 0.000 0.500 0.629
Ti 0.000 0.500 0.890
Ti 0.500 0.500 0.500
Ti 0.000 0.500 0.110
Ti 0.500 0.000 0.371
Ti 0.500 0.500 0.000
Ti 0.500 0.000 0.890
Ti 0.500 0.500 0.760
Hg 0.000 0.000 0.759
Hg 0.000 0.000 0.241
Hg 0.000 0.000 0.500
Ni 0.000 0.000 0.000

Properties
Space-group type: P4/mmm
Energy, Ha/atom: -0.23457

=====

Density functional theory data (PBE-GGA) for a relaxed structure of InPtSeN2.

Cell: 3.852 3.852 7.433 Å, 90.00 90.00 90.00°
Sites, in units of the cell vectors:
Pt 0.000 0.000 0.000
In 0.500 0.500 0.500
N 0.000 0.500 0.000
N 0.500 0.000 0.000
Se 0.000 0.000 0.500

Properties
Space-group type: P4/mmm
ΔE to the lowest computed polymorph, meV/atom: 0
Formation energy without anion corrections, kJ per mole of atoms: 89.52
Energy, Ha/atom: -0.17842

=====

Density functional theory data (PBE-GGA) for a relaxed structure of Li2Cr3Cl8.

Cell: 7.172 7.883 11.580 Å, 90.00 90.00 117.06°
Sites, in units of the cell vectors:
Cl 0.007 0.015 0.747
Cl 0.493 0.985 0.247
Cl 0.748 0.496 0.753
Cl 0.248 0.496 0.747
Cl 0.993 0.985 0.253
Cl 0.613 0.760 0.479
Cl 0.887 0.240 0.979
Cl 0.353 0.240 0.979
Cl 0.147 0.760 0.479
Cl 0.387 0.240 0.521
Cl 0.113 0.760 0.021
Cl 0.752 0.504 0.253
Cl 0.507 0.015 0.753
Cl 0.647 0.760 0.021
Cl 0.252 0.504 0.247
Cl 0.853 0.240 0.521
Li 0.626 0.252 0.101
Li 0.126 0.252 0.399
Li 0.374 0.748 0.899
Li 0.874 0.748 0.601
Cr 0.500 0.000 0.500
Cr 0.880 0.260 0.750
Cr 0.000 0.000 0.000
Cr 0.620 0.740 0.250
Cr 0.120 0.740 0.250
Cr 0.380 0.260 0.750

Properties
Space-group type: Cmce
Formation energy without anion corrections, kJ per mole of atoms: -112.00
Energy, Ha/atom: -0.17685

=====

Density functional theory data (PBE-GGA) for a relaxed structure of VIr4Ru.

Cell: 3.840 3.840 6.084 Å, 90.00 108.39 90.00°
Sites, in units of the cell vectors:
Ir 0.836 0.500 0.672
Ir 0.338 0.000 0.676
Ir 0.662 0.000 0.324
Ir 0.164 0.500 0.328
Ru 0.500 0.500 0.000
V 0.000 0.000 0.000

Properties
Space-group type: Cmmm
ΔE to the lowest computed polymorph, meV/atom: 0
Energy, Ha/atom: -0.33964

=====

Density functional theory data (PBE-GGA) for a relaxed structure of Ho3Ga4Cu2.

Cell: 4.373 5.631 8.329 Å, 110.13 90.00 112.85°
Sites, in units of the cell vectors:
Ga 0.268 0.536 0.924
Ga 0.036 0.071 0.366
Ga 0.732 0.464 0.076
Ga 0.964 0.929 0.634
Cu 0.598 0.197 0.270
Cu 0.402 0.803 0.730
Ho 0.328 0.656 0.346
Ho 0.672 0.344 0.654
Ho 0.000 0.000 0.000

Properties
Space-group type: C2/m
ΔE to the lowest computed polymorph, meV/atom: 0
Energy, Ha/atom: -0.16011

=====

Q: energy of number 1 (Pm6MgSn8)?
A: -0.17282 Ha/atom

=====

Q: Which of these has the highest energy?
A: Ho3Ga4Cu2

=====

Q: energy of number 1 (Pm6MgSn8)?
A: -0.17282 Ha/atom